# Er2Hf3MgN6 PBE-GGA relaxed
# ΔE_f (raw): -20.346 eV/f.u.
data_Er2Hf3MgN6
_cell_length_a 3.258
_cell_length_b 6.563
_cell_length_c 7.326
_cell_angle_alpha 103.65
_cell_angle_beta 102.85
_cell_angle_gamma 90.00
_space_group_name_H-M_alt 'P 1'
_space_group_IT_number 1
_space_group_name_Hall 'P 1'
loop_
_atom_site_label
_atom_site_fract_x
_atom_site_fract_y
_atom_site_fract_z
N1 0.995 0.256 0.991
Hf1 0.836 0.166 0.672
N2 0.668 0.069 0.336
Mg1 0.500 0.000 0.000
Hf2 0.164 0.834 0.328
Er1 0.836 0.672 0.671
Hf3 0.500 0.500 0.000
N3 0.005 0.744 0.009
N4 0.661 0.594 0.323
N5 0.339 0.406 0.677
N6 0.332 0.931 0.664
Er2 0.164 0.328 0.329